1:
{
  "formula": "Ce2ThAg",
  "functional": "PBE",
  "state": "relaxed",
  "n_ef_per_ev_cell": 9.3,
  "cell": [[1.6996, 0.9813, 10.9149], [-1.6996, 0.9813, 10.9149], [0.0000, -1.9626, 10.9149]],
  "species": ["Ce", "Ce", "Th", "Ag"],
  "fractional_positions": [[0.0000, 0.0000, 0.0000], [0.1774, 0.1774, 0.1774], [0.7552, 0.7552, 0.7552], [0.5890, 0.5890, 0.5890]]
}

2:
{
  "formula": "Ce2ThAg",
  "functional": "PBE",
  "state": "relaxed",
  "n_ef_per_ev_cell": 10.2,
  "cell": [[3.5189, 0.0000, 0.0000], [0.0000, 3.5189, 0.0000], [0.0000, 0.0000, 8.8465]],
  "species": ["Ce", "Ce", "Th", "Ag"],
  "fractional_positions": [[0.0000, 0.0000, 0.2331], [0.0000, 0.0000, 0.7669], [0.5000, 0.5000, 0.5000], [0.5000, 0.5000, 0.0000]]
}

It is 2 that is the most stable of them.

1:
{
  "formula": "Ce2TlAg3",
  "functional": "PBE",
  "state": "relaxed",
  "n_ef_per_ev_cell": 11.8,
  "cell": [[3.2954, 0.0000, 0.0000], [0.0000, 4.9686, 0.0000], [0.0000, 0.0000, 8.6987]],
  "species": ["Ce", "Ce", "Tl", "Ag", "Ag", "Ag"],
  "fractional_positions": [[0.0000, 0.0000, 0.0000], [0.0000, 0.5000, 0.4800], [0.5000, 0.5000, 0.8213], [0.5000, 0.0000, 0.3233], [0.5000, 0.0000, 0.6497], [0.5000, 0.5000, 0.1603]]
}

2:
{
  "formula": "Ce2TlAg3",
  "functional": "PBE",
  "state": "relaxed",
  "n_ef_per_ev_cell": 14.2,
  "cell": [[-1.7227, 2.4182, 9.1664], [1.7227, -2.4182, 9.1664], [1.7227, 2.4182, -9.1664]],
  "species": ["Ce", "Ce", "Tl", "Ag", "Ag", "Ag"],
  "fractional_positions": [[0.0000, 0.0000, 0.0000], [0.7510, 0.2510, 0.5000], [0.5891, 0.5891, 0.0000], [0.1673, 0.6673, 0.5000], [0.3176, 0.8176, 0.5000], [0.4318, 0.4318, 0.0000]]
}

It is 1 that is the most stable of them.

1:
{
  "formula": "CeTmAg2",
  "functional": "PBE",
  "state": "relaxed",
  "n_ef_per_ev_cell": 9.3,
  "cell": [[0.0000, 3.6664, 3.6664], [3.6664, 0.0000, 3.6664], [3.6664, 3.6664, 0.0000]],
  "species": ["Ce", "Tm", "Ag", "Ag"],
  "fractional_positions": [[0.0000, 0.0000, 0.0000], [0.5000, 0.5000, 0.5000], [0.2500, 0.2500, 0.2500], [0.7500, 0.7500, 0.7500]]
}

2:
{
  "formula": "CeTmAg2",
  "functional": "PBE",
  "state": "relaxed",
  "n_ef_per_ev_cell": 7.7,
  "cell": [[3.5652, 0.0000, 0.0000], [0.0000, 3.5652, 0.0000], [0.0000, 0.0000, 7.6680]],
  "species": ["Ce", "Tm", "Ag", "Ag"],
  "fractional_positions": [[0.0000, 0.0000, 0.0000], [0.0000, 0.0000, 0.5000], [0.5000, 0.5000, 0.2751], [0.5000, 0.5000, 0.7249]]
}

It is 2 that is the most stable of them.

1:
{
  "formula": "CeTm2Ag",
  "functional": "PBE",
  "state": "relaxed",
  "n_ef_per_ev_cell": 6.3,
  "cell": [[1.7216, 0.9940, 10.3861], [-1.7216, 0.9940, 10.3861], [0.0000, -1.9880, 10.3861]],
  "species": ["Ce", "Tm", "Tm", "Ag"],
  "fractional_positions": [[0.0000, 0.0000, 0.0000], [0.2426, 0.2426, 0.2426], [0.7574, 0.7574, 0.7574], [0.5000, 0.5000, 0.5000]]
}

2:
{
  "formula": "CeTm2Ag",
  "functional": "PBE",
  "state": "relaxed",
  "n_ef_per_ev_cell": 6.7,
  "cell": [[1.7286, 0.9980, 10.5028], [-1.7286, 0.9980, 10.5028], [0.0000, -1.9960, 10.5028]],
  "species": ["Ce", "Tm", "Tm", "Ag"],
  "fractional_positions": [[0.0000, 0.0000, 0.0000], [0.2413, 0.2413, 0.2413], [0.4255, 0.4255, 0.4255], [0.8336, 0.8336, 0.8336]]
}

3:
{
  "formula": "CeTm2Ag",
  "functional": "PBE",
  "state": "relaxed",
  "n_ef_per_ev_cell": 8.3,
  "cell": [[0.0000, 3.7169, 3.7169], [3.7169, 0.0000, 3.7169], [3.7169, 3.7169, 0.0000]],
  "species": ["Ce", "Tm", "Tm", "Ag"],
  "fractional_positions": [[0.0000, 0.0000, 0.0000], [0.2500, 0.2500, 0.2500], [0.7500, 0.7500, 0.7500], [0.5000, 0.5000, 0.5000]]
}

4:
{
  "formula": "CeTm2Ag",
  "functional": "PBE",
  "state": "relaxed",
  "n_ef_per_ev_cell": 7.4,
  "cell": [[3.5650, 0.0000, 0.0000], [0.0000, 3.5650, 0.0000], [0.0000, 0.0000, 8.3298]],
  "species": ["Ce", "Tm", "Tm", "Ag"],
  "fractional_positions": [[0.0000, 0.0000, 0.0000], [0.5000, 0.5000, 0.2855], [0.5000, 0.5000, 0.7145], [0.0000, 0.0000, 0.5000]]
}

It is 4 that is the most stable of them.

1:
{
  "formula": "CeYAg2",
  "functional": "PBE",
  "state": "relaxed",
  "n_ef_per_ev_cell": 8.2,
  "cell": [[3.6096, 0.0000, 0.0000], [0.0000, 3.6096, 0.0000], [0.0000, 0.0000, 7.6803]],
  "species": ["Ce", "Y", "Ag", "Ag"],
  "fractional_positions": [[0.0000, 0.0000, 0.0000], [0.0000, 0.0000, 0.5000], [0.5000, 0.5000, 0.2684], [0.5000, 0.5000, 0.7316]]
}

2:
{
  "formula": "CeYAg2",
  "functional": "PBE",
  "state": "relaxed",
  "n_ef_per_ev_cell": 9.8,
  "cell": [[0.0000, 3.6943, 3.6943], [3.6943, 0.0000, 3.6943], [3.6943, 3.6943, 0.0000]],
  "species": ["Ce", "Y", "Ag", "Ag"],
  "fractional_positions": [[0.0000, 0.0000, 0.0000], [0.5000, 0.5000, 0.5000], [0.2500, 0.2500, 0.2500], [0.7500, 0.7500, 0.7500]]
}

It is 1 that is the most stable of them.

1:
{
  "formula": "CeYAg4",
  "functional": "PBE",
  "state": "relaxed",
  "n_ef_per_ev_cell": 9.2,
  "cell": [[5.1158, -1.8384, 0.0000], [5.1158, 1.8384, 0.0000], [-2.9092, 0.0000, 7.2035]],
  "species": ["Ce", "Y", "Ag", "Ag", "Ag", "Ag"],
  "fractional_positions": [[0.0000, 0.0000, 0.0000], [0.0000, 0.0000, 0.5000], [0.3269, 0.3269, 0.6566], [0.3281, 0.3281, 0.1731], [0.6719, 0.6719, 0.8269], [0.6731, 0.6731, 0.3434]]
}

2:
{
  "formula": "CeYAg4",
  "functional": "PBE",
  "state": "relaxed",
  "n_ef_per_ev_cell": 8.1,
  "cell": [[0.0000, 4.0565, 4.0565], [4.0565, 0.0000, 4.0565], [4.0565, 4.0565, 0.0000]],
  "species": ["Ce", "Y", "Ag", "Ag", "Ag", "Ag"],
  "fractional_positions": [[0.0000, 0.0000, 0.0000], [0.2500, 0.2500, 0.2500], [0.1260, 0.6247, 0.6247], [0.6247, 0.1260, 0.6247], [0.6247, 0.6247, 0.1260], [0.6247, 0.6247, 0.6247]]
}

It is 1 that is the most stable of them.

1:
{
  "formula": "CeYAg",
  "functional": "PBE",
  "state": "relaxed",
  "n_ef_per_ev_cell": 6.1,
  "cell": [[-1.7626, 1.7626, 6.6243], [1.7626, -1.7626, 6.6243], [1.7626, 1.7626, -6.6243]],
  "species": ["Ce", "Y", "Ag"],
  "fractional_positions": [[0.0000, 0.0000, 0.0000], [0.3013, 0.3013, 0.0000], [0.6605, 0.6605, 0.0000]]
}

2:
{
  "formula": "CeYAg",
  "functional": "PBE",
  "state": "relaxed",
  "n_ef_per_ev_cell": 11.7,
  "cell": [[1.7518, -8.5023, 0.0000], [1.7518, 8.5023, 0.0000], [0.0000, 0.0000, 5.2771]],
  "species": ["Ce", "Ce", "Y", "Y", "Ag", "Ag"],
  "fractional_positions": [[0.2311, 0.7689, 0.7500], [0.7689, 0.2311, 0.2500], [0.0797, 0.9203, 0.2500], [0.9203, 0.0797, 0.7500], [0.4252, 0.5748, 0.2500], [0.5748, 0.4252, 0.7500]]
}

It is 2 that is the most stable of them.

1:
{
  "formula": "Ce2YAg",
  "functional": "PBE",
  "state": "relaxed",
  "n_ef_per_ev_cell": 11.7,
  "cell": [[3.3825, 0.0000, 0.0000], [0.0000, 3.3825, 0.0000], [0.0000, 0.0000, 9.8185]],
  "species": ["Ce", "Ce", "Y", "Ag"],
  "fractional_positions": [[0.0000, 0.0000, 0.2234], [0.0000, 0.0000, 0.7766], [0.5000, 0.5000, 0.5000], [0.5000, 0.5000, 0.0000]]
}

2:
{
  "formula": "Ce2YAg",
  "functional": "PBE",
  "state": "relaxed",
  "n_ef_per_ev_cell": 9.6,
  "cell": [[1.5962, 0.9216, 11.7648], [-1.5962, 0.9216, 11.7648], [0.0000, -1.8431, 11.7648]],
  "species": ["Ce", "Ce", "Y", "Ag"],
  "fractional_positions": [[0.0903, 0.0903, 0.0903], [0.9097, 0.9097, 0.9097], [0.0000, 0.0000, 0.0000], [0.5000, 0.5000, 0.5000]]
}

It is 1 that is the most stable of them.

1:
{
  "formula": "CeYZnAg",
  "functional": "PBE",
  "state": "relaxed",
  "n_ef_per_ev_cell": 9.8,
  "cell": [[0.0000, 3.6603, 3.6603], [3.6603, 0.0000, 3.6603], [3.6603, 3.6603, 0.0000]],
  "species": ["Ce", "Y", "Zn", "Ag"],
  "fractional_positions": [[0.0000, 0.0000, 0.0000], [0.5000, 0.5000, 0.5000], [0.2500, 0.2500, 0.2500], [0.7500, 0.7500, 0.7500]]
}

2:
{
  "formula": "CeYZnAg",
  "functional": "PBE",
  "state": "relaxed",
  "n_ef_per_ev_cell": 8.3,
  "cell": [[3.5920, 0.0000, 0.0000], [0.0000, 3.5920, 0.0000], [0.0000, 0.0000, 7.5034]],
  "species": ["Ce", "Y", "Zn", "Ag"],
  "fractional_positions": [[0.0000, 0.0000, 0.0000], [0.0000, 0.0000, 0.4825], [0.5000, 0.5000, 0.2500], [0.5000, 0.5000, 0.7217]]
}

It is 2 that is the most stable of them.

1:
{
  "formula": "CeZn2Ag",
  "functional": "PBE",
  "state": "relaxed",
  "n_ef_per_ev_cell": 13.3,
  "cell": [[6.8811, 0.0000, 0.0000], [0.0000, 2.2557, 5.2106], [0.0000, -2.2557, 5.2106]],
  "species": ["Ce", "Ce", "Zn", "Zn", "Zn", "Zn", "Ag", "Ag"],
  "fractional_positions": [[0.0000, 0.0000, 0.0000], [0.5000, 0.1718, 0.1718], [0.0000, 0.3006, 0.3006], [0.3104, 0.4568, 0.4568], [0.5000, 0.8828, 0.8828], [0.6896, 0.4568, 0.4568], [0.1995, 0.7097, 0.7097], [0.8005, 0.7097, 0.7097]]
}

2:
{
  "formula": "CeZn2Ag",
  "functional": "PBE",
  "state": "relaxed",
  "n_ef_per_ev_cell": 5.2,
  "cell": [[0.0000, 3.4155, 3.4155], [3.4155, 0.0000, 3.4155], [3.4155, 3.4155, 0.0000]],
  "species": ["Ce", "Zn", "Zn", "Ag"],
  "fractional_positions": [[0.0000, 0.0000, 0.0000], [0.2500, 0.2500, 0.2500], [0.7500, 0.7500, 0.7500], [0.5000, 0.5000, 0.5000]]
}

It is 1 that is the most stable of them.

1:
{
  "formula": "CeZn2Ag2",
  "functional": "PBE",
  "state": "relaxed",
  "n_ef_per_ev_cell": 9.0,
  "cell": [[-2.1287, 2.1287, 5.6787], [2.1287, -2.1287, 5.6787], [2.1287, 2.1287, -5.6787]],
  "species": ["Ce", "Zn", "Zn", "Ag", "Ag"],
  "fractional_positions": [[0.0000, 0.0000, 0.0000], [0.3907, 0.3907, 0.0000], [0.6093, 0.6093, 0.0000], [0.2500, 0.7500, 0.5000], [0.7500, 0.2500, 0.5000]]
}

2:
{
  "formula": "CeZn2Ag2",
  "functional": "PBE",
  "state": "relaxed",
  "n_ef_per_ev_cell": 14.0,
  "cell": [[2.5613, -4.2841, 0.0000], [2.5613, 4.2841, 0.0000], [-2.4190, 0.0000, 9.1539]],
  "species": ["Ce", "Ce", "Zn", "Zn", "Zn", "Zn", "Ag", "Ag", "Ag", "Ag"],
  "fractional_positions": [[0.1597, 0.8403, 0.7500], [0.8403, 0.1597, 0.2500], [0.4062, 0.4264, 0.6106], [0.4264, 0.4062, 0.1106], [0.5736, 0.5938, 0.8894], [0.5938, 0.5736, 0.3894], [0.1154, 0.7837, 0.0933], [0.2163, 0.8846, 0.4067], [0.7837, 0.1154, 0.5933], [0.8846, 0.2163, 0.9067]]
}

It is 2 that is the most stable of them.

1:
{
  "formula": "Ce3Zn4Ag4",
  "functional": "PBE",
  "state": "relaxed",
  "n_ef_per_ev_cell": 18.8,
  "cell": [[3.2697, 0.0000, 0.0000], [-0.0004, 4.7381, 0.0000], [-1.6346, -2.3686, 14.6679]],
  "species": ["Ce", "Ce", "Ce", "Zn", "Zn", "Zn", "Zn", "Ag", "Ag", "Ag", "Ag"],
  "fractional_positions": [[0.0000, 0.0000, 0.0000], [0.1409, 0.6405, 0.2806], [0.8591, 0.3595, 0.7194], [0.3119, 0.8121, 0.6245], [0.4536, 0.4540, 0.9082], [0.5464, 0.5460, 0.0918], [0.6881, 0.1879, 0.3755], [0.2622, 0.2621, 0.5243], [0.4058, 0.9063, 0.8130], [0.5942, 0.0937, 0.1870], [0.7378, 0.7379, 0.4757]]
}

2:
{
  "formula": "Ce3Zn4Ag4",
  "functional": "PBE",
  "state": "relaxed",
  "n_ef_per_ev_cell": 21.6,
  "cell": [[-2.1641, 3.7760, 7.2110], [2.1641, -3.7760, 7.2110], [2.1641, 3.7760, -7.2110]],
  "species": ["Ce", "Ce", "Ce", "Zn", "Zn", "Zn", "Zn", "Ag", "Ag", "Ag", "Ag"],
  "fractional_positions": [[0.0000, 0.0000, 0.0000], [0.3783, 0.8783, 0.5000], [0.6217, 0.1217, 0.5000], [0.2230, 0.2230, 0.0000], [0.3191, 0.5000, 0.8191], [0.6809, 0.5000, 0.1809], [0.7770, 0.7770, 0.0000], [0.0200, 0.3274, 0.6926], [0.3651, 0.6726, 0.6926], [0.6349, 0.3274, 0.3074], [0.9800, 0.6726, 0.3074]]
}

It is 1 that is the most stable of them.